Density functional theory data (PBE) for crystalline PmNdMgZr at its relaxed geometry.

Results
E, eV per atom: -4.785
SG: No. 216
Volume, A^3/atom: 28.6
Spin magnetization, μB per cell: 6.49

Cell lengths 7.703, 7.703, 7.703 Å; angles 90.00, 90.00, 90.00 degrees
Fractional coordinates of all 16 atoms:
Pm 0.000 0.000 0.000
Pm 0.000 0.500 0.500
Pm 0.500 0.000 0.500
Pm 0.500 0.500 0.000
Nd 0.000 0.000 0.500
Nd 0.000 0.500 0.000
Nd 0.500 0.000 0.000
Nd 0.500 0.500 0.500
Mg 0.250 0.250 0.750
Mg 0.250 0.750 0.250
Mg 0.750 0.250 0.250
Mg 0.750 0.750 0.750
Zr 0.250 0.250 0.250
Zr 0.250 0.750 0.750
Zr 0.750 0.250 0.750
Zr 0.750 0.750 0.250